The following is a SCAN calculation of Mg2NiP at its PBEsol-relaxed geometry, from Alexandria via LeMat-Bulk.

Unit cell a=3.8586 b=3.8586 c=7.7594 alpha=90.00 beta=90.00 gamma=90.00
Last column: nearest neighbours and their distance in Å.
Space group I4/mmm (No. 139)
Symmetry-distinct sites (fractional):
Mg: 0.0000 0.5000 0.2500  4 Mg 2.73, 4 Ni 2.74, 4 P 2.74
Ni: 0.0000 0.0000 0.0000  4 P 2.73, 8 Mg 2.74
P: 0.0000 0.0000 0.5000  4 Ni 2.73, 8 Mg 2.74

The following is a SCAN calculation of Mg3Ni20P6 at its PBEsol-relaxed geometry, from Alexandria via LeMat-Bulk.

Unit cell a=10.9497 b=10.9497 c=10.9497 alpha=90.00 beta=90.00 gamma=90.00
Last column: nearest neighbours and their distance in Å.
Space group Fm-3m (No. 225)
Symmetry-distinct sites (fractional):
Mg: 0.0000 0.0000 0.0000  12 Ni 2.71, 6 P 2.90
Mg: 0.2500 0.2500 0.2500  4 Ni 2.54
Ni: 0.0000 0.1748 0.1748  2 P 2.15, 1 Ni 2.33
Ni: 0.1159 0.1159 0.3841  3 P 2.22
P: 0.0000 0.0000 0.2644  8 Ni 2.15-2.22

The following is a SCAN calculation of MgNi2P at its PBEsol-relaxed geometry, from Alexandria via LeMat-Bulk.

Unit cell a=3.9341 b=2.8504 c=8.9449 alpha=90.00 beta=90.00 gamma=90.00
Last column: nearest neighbours and their distance in Å.
Space group Amm2 (No. 38)
Symmetry-distinct sites (fractional):
Mg: 0.0000 0.0000 0.0000  3 Ni 2.35-2.55
Ni: 0.0000 0.0000 0.2632  2 P 2.15, 1 Mg 2.35
Ni: 0.5000 0.0000 0.6576  2 P 2.31
P: 0.5000 0.0000 0.3603  4 Ni 2.15-2.31

Result set for DFT formation energy: -0.1402, -0.4745, -0.2836 eV per atom, one per record in the order listed.
Result set for total energy: -9.27, -14.29, -12.21 eV per atom, one per record in the order listed.